No. 1
Below is an optimized crystal structure of KTlAgPt, with properties calculated at the PBE level.

Cell lengths 4.689, 4.689, 6.641 Å; angles 69.33, 69.33, 60.00 degrees
Sites, in units of the cell vectors:
1 Tl 0.015 0.015 0.956
2 Pt 0.626 0.626 0.123
3 Ag 0.269 0.269 0.192
4 K 0.816 0.816 0.552

Computed properties:
The value obtained for the raw total energy is -3.1602 eV/atom. The space group is R3m (160).

***

No. 2
Below is an optimized crystal structure of KZn2AgPt, with properties calculated at the PBE level.

Cell lengths 4.903, 4.903, 5.343 Å; angles 90.00, 90.00, 90.00 degrees
Sites, in units of the cell vectors:
1 Pt 0.000 0.000 0.000
2 Ag 0.000 0.000 0.500
3 K 0.500 0.500 0.500
4 Zn 0.000 0.500 0.000
5 Zn 0.500 0.000 0.000

Computed properties:
The value obtained for the raw total energy is -2.6443 eV/atom. The space group is P4/mmm (123).

***

No. 3
Below is an optimized crystal structure of K3Pu2AgS6, with properties calculated at the PBE level.

Cell lengths 6.990, 6.990, 7.673 Å; angles 98.61, 98.61, 120.10 degrees
Site moments in Bohr magnetons follow the coordinates.
Sites, in units of the cell vectors:
1 S 0.284 0.284 0.802  -0.15
2 K 0.500 0.500 0.500  0.00
3 Pu 0.333 0.667 0.000  4.59
4 Ag 0.000 0.000 0.000  -0.07
5 S 0.067 0.421 0.202  -0.15
6 S 0.716 0.716 0.198  -0.15
7 S 0.579 0.933 0.798  -0.15
8 K 0.158 0.842 0.500  0.00
9 S 0.421 0.067 0.202  -0.15
10 Pu 0.667 0.333 0.000  4.59
11 K 0.842 0.158 0.500  0.00
12 S 0.933 0.579 0.798  -0.15

Computed properties:
The space group is C2/m (12). The uncorrected formation energy is -1246 meV per atom.

***

Calculated spin magnetization, 0.000 0.000 0.667 μB per atom (same order as the records).
Calculated DOS at the Fermi energy, 1.27 1.78 11.35 states/eV/f.u. (same order as the records).